1.
Below is crystalline Ac2TbPmNd4 at its relaxed geometry, with properties calculated at the PBE level.

Cell: 3.761 12.341 6.503 Å, 79.68 90.00 90.00°
Sites, in units of the cell vectors:
Ac 0.000 0.000 0.000
Ac 0.500 0.000 0.500
Tb 0.500 0.500 0.000
Nd 0.000 0.741 0.754
Nd 0.000 0.259 0.246
Nd 0.500 0.742 0.253
Nd 0.500 0.258 0.747
Pm 0.000 0.500 0.500

As for the space group: P2/m.

***

2.
Below is crystalline AcTb2Pm4Nd at its relaxed geometry, with properties calculated at the PBE level.

Cell: 5.203 5.184 11.630 Å, 63.43 90.00 90.00°
Sites, in units of the cell vectors:
Tb 0.500 0.000 0.500
Tb 0.000 0.000 0.000
Pm 0.000 0.245 0.255
Pm 0.500 0.743 0.256
Pm 0.500 0.257 0.744
Pm 0.000 0.755 0.745
Nd 0.000 0.500 0.500
Ac 0.500 0.500 0.000

As for the space group: P2/m.

***

3.
Below is crystalline Ac5TbPm2Nd at its relaxed geometry, with properties calculated at the PBE level.

Cell: 8.431 8.431 12.032 Å, 110.51 110.51 90.00°
Sites, in units of the cell vectors:
Ac 0.854 0.915 0.270
Ac 0.500 0.500 0.000
Ac 0.146 0.085 0.730
Ac 0.354 0.854 0.270
Ac 0.646 0.146 0.730
Ac 0.915 0.415 0.270
Ac 0.585 0.646 0.730
Ac 0.085 0.585 0.730
Ac 0.415 0.354 0.270
Ac 0.000 0.000 0.000
Pm 0.378 0.878 0.000
Pm 0.622 0.122 0.000
Pm 0.878 0.622 0.000
Pm 0.122 0.378 0.000
Nd 0.750 0.750 0.500
Nd 0.250 0.250 0.500
Tb 0.250 0.750 0.500
Tb 0.750 0.250 0.500

As for the space group: I4/mcm.

***

4.
Below is crystalline AcTb2Pm6Nd at its relaxed geometry, with properties calculated at the PBE level.

Cell: 9.825 9.067 9.067 Å, 117.85 93.19 93.19°
Sites, in units of the cell vectors:
Ac 0.250 0.971 0.029
Ac 0.750 0.029 0.971
Pm 0.320 0.982 0.443
Pm 0.381 0.508 0.292
Pm 0.180 0.557 0.018
Pm 0.820 0.443 0.982
Pm 0.119 0.708 0.492
Pm 0.680 0.018 0.557
Pm 0.945 0.880 0.251
Pm 0.055 0.120 0.749
Pm 0.555 0.749 0.120
Pm 0.881 0.292 0.508
Pm 0.619 0.492 0.708
Pm 0.445 0.251 0.880
Nd 0.250 0.409 0.591
Nd 0.750 0.591 0.409
Tb 0.453 0.802 0.691
Tb 0.953 0.691 0.802
Tb 0.047 0.309 0.198
Tb 0.547 0.198 0.309

As for the space group: C2/c.

***

5.
Below is crystalline AcTb5Pm2Nd at its relaxed geometry, with properties calculated at the PBE level.

Cell: 8.911 8.911 10.070 Å, 116.26 116.26 90.00°
Sites, in units of the cell vectors:
Nd 0.750 0.750 0.500
Nd 0.250 0.250 0.500
Tb 0.000 0.000 0.000
Tb 0.500 0.500 0.000
Tb 0.920 0.420 0.263
Tb 0.842 0.920 0.263
Tb 0.658 0.158 0.737
Tb 0.420 0.342 0.263
Tb 0.080 0.580 0.737
Tb 0.342 0.842 0.263
Tb 0.580 0.658 0.737
Tb 0.158 0.080 0.737
Ac 0.250 0.750 0.500
Ac 0.750 0.250 0.500
Pm 0.615 0.115 0.000
Pm 0.115 0.385 0.000
Pm 0.885 0.615 0.000
Pm 0.385 0.885 0.000

As for the space group: I4/mcm.

***

6.
Below is crystalline Ac2TbPmNd at its relaxed geometry, with properties calculated at the PBE level.

Cell: 6.854 8.888 6.492 Å, 90.00 90.00 90.00°
Sites, in units of the cell vectors:
Nd 0.414 0.000 0.750
Nd 0.586 0.000 0.250
Pm 0.822 0.500 0.250
Pm 0.178 0.500 0.750
Tb 0.000 0.000 0.000
Tb 0.000 0.000 0.500
Ac 0.708 0.705 0.750
Ac 0.708 0.295 0.750
Ac 0.292 0.295 0.250
Ac 0.292 0.705 0.250

As for the space group: Pmma.

***

Number 1: uncorrected energy -36.3 eV per cell, formation enthalpy at 0 K 0.041 eV/atom. Number 2: uncorrected energy -36.9 eV per cell, formation enthalpy at 0 K 0.028 eV/atom. Number 3: uncorrected energy -73.7 eV per cell, formation enthalpy at 0 K 0.286 eV/atom. Number 4: uncorrected energy -90.9 eV per cell, formation enthalpy at 0 K 0.120 eV/atom. Number 5: uncorrected energy -78.3 eV per cell, formation enthalpy at 0 K 0.267 eV/atom. Number 6: uncorrected energy -42.2 eV per cell, formation enthalpy at 0 K 0.252 eV/atom.